1.
VASP calculation (PBE-GGA) on an optimized crystal structure of GeSN.

a b c (Å): 3.282 4.607 7.224
angles (deg): 75.05 87.89 88.55
Atoms (fractional coordinates):
1 Ge 0.045 0.660 0.656
2 Ge 0.565 0.102 0.872
3 S 0.556 0.813 0.440
4 S 0.591 0.400 0.082
5 N 0.616 0.690 0.874
6 N 0.070 0.234 0.736

Properties
* M_tot: 0.00 μB/cell
* E above lowest polymorph: 0.145 eV per atom
* energy: -5.479 eV per atom

---

2.
VASP calculation (PBE-GGA) on an optimized crystal structure of Ca2MnCu.

a b c (Å): 4.238 4.320 5.987
angles (deg): 68.85 90.00 90.00
Each line ends with the local moment (μB).
Atoms (fractional coordinates):
1 Cu 0.000 0.686 0.503  0.08
2 Ca 0.000 0.978 0.919  -0.04
3 Ca 0.500 0.269 0.338  -0.04
4 Mn 0.500 0.568 0.740  3.69

Properties
* M_tot: 3.67 μB/cell
* E above lowest polymorph: 0.000 eV per atom
* energy: -4.152 eV per atom
* energy of formation from the pure elements: 15.92 kJ/mol of atoms

---

3.
VASP calculation (PBE-GGA) on an optimized crystal structure of Pr6Si2ICl3.

a b c (Å): 4.337 8.576 9.410
angles (deg): 97.72 103.32 90.00
Atoms (fractional coordinates):
1 Cl 0.500 0.500 0.000
2 Cl 0.845 0.161 0.690
3 Cl 0.155 0.839 0.310
4 Pr 0.332 0.426 0.664
5 Pr 0.317 0.880 0.634
6 Pr 0.014 0.293 0.027
7 Pr 0.683 0.120 0.366
8 Pr 0.986 0.707 0.973
9 Pr 0.668 0.574 0.336
10 Si 0.171 0.339 0.342
11 Si 0.829 0.661 0.658
12 I 0.500 0.000 0.000

Properties
* M_tot: 0.00 μB/cell
* energy: -5.040 eV per atom

---

4.
VASP calculation (PBE-GGA) on an optimized crystal structure of NaInSn.

a b c (Å): 5.301 3.284 9.790
angles (deg): 70.30 90.00 90.00
Atoms (fractional coordinates):
1 In 0.093 0.160 0.488
2 In 0.093 0.826 0.819
3 Na 0.093 0.992 0.153
4 Na 0.593 0.492 0.653
5 Sn 0.593 0.661 0.987
6 Sn 0.593 0.324 0.320

Properties
* M_tot: 0.00 μB/cell
* energy: -2.826 eV per atom
* energy of formation from the pure elements: -13.40 kJ/mol of atoms

---

5.
VASP calculation (PBE-GGA) on an optimized crystal structure of GdTmBeCd.

a b c (Å): 5.085 5.085 5.085
angles (deg): 60.00 60.00 60.00
Each line ends with the local moment (μB).
Atoms (fractional coordinates):
1 Tm 0.500 0.500 0.500  0.16
2 Gd 0.000 0.000 0.000  7.15
3 Be 0.250 0.250 0.250  0.00
4 Cd 0.750 0.750 0.750  0.01

Properties
* M_tot: 7.62 μB/cell
* energy: -5.839 eV per atom
* energy of formation from the pure elements: -3.88 kJ/mol of atoms

---

6.
VASP calculation (PBE-GGA) on an optimized crystal structure of Ag2H3I6.

a b c (Å): 8.728 7.563 17.249
angles (deg): 67.63 75.35 54.76
Atoms (fractional coordinates):
1 I 0.818 0.754 0.562
2 I 0.646 0.242 0.636
3 I 0.725 0.035 0.311
4 I 0.867 0.254 0.062
5 I 0.071 0.465 0.189
6 I 0.133 0.746 0.938
7 I 0.182 0.246 0.438
8 I 0.354 0.758 0.364
9 I 0.477 0.742 0.136
10 I 0.929 0.535 0.811
11 I 0.275 0.965 0.689
12 I 0.523 0.258 0.864
13 H 0.203 0.900 0.790
14 H 0.893 0.600 0.710
15 H 0.594 0.250 0.750
16 H 0.406 0.750 0.250
17 H 0.107 0.400 0.290
18 H 0.797 0.100 0.210
19 Ag 0.059 0.696 0.418
20 Ag 0.941 0.304 0.582
21 Ag 0.174 0.804 0.082
22 Ag 0.826 0.196 0.918

Properties
* M_tot: 0.00 μB/cell
* energy: -2.305 eV per atom

---

7.
VASP calculation (PBE-GGA) on an optimized crystal structure of YCdAgHg.

a b c (Å): 5.012 5.012 5.012
angles (deg): 60.00 60.00 60.00
Atoms (fractional coordinates):
1 Cd 0.250 0.250 0.250
2 Hg 0.500 0.500 0.500
3 Ag 0.000 0.000 0.000
4 Y 0.750 0.750 0.750

Properties
* M_tot: 0.00 μB/cell
* energy: -2.986 eV per atom
* energy of formation from the pure elements: -34.04 kJ/mol of atoms

---

8.
VASP calculation (PBE-GGA) on an optimized crystal structure of Nd2UMn2N6.

a b c (Å): 5.677 5.677 6.549
angles (deg): 64.32 64.32 60.00
Each line ends with the local moment (μB).
Atoms (fractional coordinates):
1 N 0.771 0.251 0.728  -0.03
2 N 0.251 0.771 0.728  -0.03
3 N 0.749 0.749 0.272  -0.03
4 N 0.229 0.749 0.272  -0.03
5 N 0.749 0.229 0.272  -0.03
6 N 0.251 0.251 0.728  -0.03
7 U 0.000 0.000 0.000  0.68
8 Mn 0.404 0.404 0.788  1.66
9 Mn 0.596 0.596 0.212  1.66
10 Nd 0.210 0.210 0.369  0.03
11 Nd 0.790 0.790 0.631  0.03

Properties
* M_tot: 4.07 μB/cell
* energy: -8.883 eV per atom

---

9.
VASP calculation (PBE-GGA) on an optimized crystal structure of ZnI2O6.

a b c (Å): 3.988 5.226 8.026
angles (deg): 69.22 75.62 67.57
Atoms (fractional coordinates):
1 Zn 0.000 0.500 0.500
2 O 0.965 0.801 0.269
3 O 0.035 0.199 0.731
4 O 0.706 0.762 0.826
5 O 0.294 0.238 0.174
6 O 0.645 0.294 0.417
7 O 0.355 0.706 0.583
8 I 0.202 0.800 0.796
9 I 0.798 0.200 0.204

Properties
* M_tot: 0.00 μB/cell
* E above lowest polymorph: 0.117 eV per atom
* energy: -4.254 eV per atom

---

10.
VASP calculation (PBE-GGA) on an optimized crystal structure of TlAu2.

a b c (Å): 9.955 9.955 4.581
angles (deg): 90.00 90.00 162.10
Atoms (fractional coordinates):
1 Au 0.341 0.659 0.000
2 Au 0.973 0.027 0.000
3 Au 0.805 0.195 0.500
4 Au 0.437 0.563 0.500
5 Tl 0.699 0.301 0.000
6 Tl 0.079 0.921 0.500

Properties
* M_tot: 0.00 μB/cell
* E above lowest polymorph: 0.031 eV per atom
* energy: -2.941 eV per atom
* energy of formation from the pure elements: 3.20 kJ/mol of atoms

---

11.
VASP calculation (PBE-GGA) on an optimized crystal structure of GaAgBr6.

a b c (Å): 5.941 8.954 8.274
angles (deg): 48.65 61.82 60.39
Atoms (fractional coordinates):
1 Br 0.830 0.149 0.654
2 Br 0.396 0.828 0.852
3 Br 0.108 0.358 0.795
4 Br 0.604 0.172 0.148
5 Br 0.170 0.851 0.346
6 Br 0.892 0.642 0.205
7 Ga 0.000 0.000 0.000
8 Ag 0.500 0.500 0.500

Properties
* M_tot: 0.00 μB/cell
* E above lowest polymorph: 0.000 eV per atom
* energy: -2.346 eV per atom

---

12.
VASP calculation (PBE-GGA) on an optimized crystal structure of K2TlC.

a b c (Å): 5.567 5.567 5.567
angles (deg): 60.00 60.00 60.00
Each line ends with the local moment (μB).
Atoms (fractional coordinates):
1 K 0.250 0.250 0.250  -0.01
2 K 0.750 0.750 0.750  -0.01
3 Tl 0.500 0.500 0.500  -0.15
4 C 0.000 0.000 0.000  0.71

Properties
* M_tot: 1.00 μB/cell
* E above lowest polymorph: 0.456 eV per atom
* energy: -2.157 eV per atom
* energy of formation from the pure elements: 124.38 kJ/mol of atoms

---

13.
VASP calculation (PBE-GGA) on an optimized crystal structure of LiNpH3.

a b c (Å): 3.574 3.574 3.574
angles (deg): 90.00 90.00 90.00
Each line ends with the local moment (μB).
Atoms (fractional coordinates):
1 H 0.500 0.000 0.000  -0.02
2 H 0.000 0.000 0.500  -0.02
3 H 0.000 0.500 0.000  -0.02
4 Li 0.000 0.000 0.000  0.03
5 Np 0.500 0.500 0.500  4.48

Properties
* M_tot: 4.97 μB/cell
* energy: -5.173 eV per atom

---

14.
VASP calculation (PBE-GGA) on an optimized crystal structure of GdAlHg2.

a b c (Å): 5.056 5.056 5.056
angles (deg): 60.00 60.00 60.00
Each line ends with the local moment (μB).
Atoms (fractional coordinates):
1 Hg 0.250 0.250 0.250  -0.01
2 Hg 0.750 0.750 0.750  -0.01
3 Al 0.500 0.500 0.500  -0.01
4 Gd 0.000 0.000 0.000  6.93

Properties
* M_tot: 6.97 μB/cell
* E above lowest polymorph: 0.000 eV per atom
* energy: -4.928 eV per atom
* energy of formation from the pure elements: -31.00 kJ/mol of atoms

---

15.
VASP calculation (PBE-GGA) on an optimized crystal structure of In2RuRh2.

a b c (Å): 5.268 5.268 5.268
angles (deg): 122.66 122.66 85.45
Each line ends with the local moment (μB).
Atoms (fractional coordinates):
1 In 0.750 0.250 0.500  -0.03
2 In 0.250 0.750 0.500  -0.03
3 Rh 0.658 0.658 0.000  0.39
4 Rh 0.342 0.342 0.000  0.39
5 Ru 0.000 0.000 0.000  1.76

Properties
* M_tot: 2.55 μB/cell
* E above lowest polymorph: 0.378 eV per atom
* energy: -5.403 eV per atom
* energy of formation from the pure elements: 47.05 kJ/mol of atoms

---

16.
VASP calculation (PBE-GGA) on an optimized crystal structure of ZrOsBr2.

a b c (Å): 3.229 3.229 9.166
angles (deg): 90.00 90.00 90.00
Atoms (fractional coordinates):
1 Os 0.000 0.000 0.535
2 Br 0.500 0.500 0.331
3 Br 0.000 0.000 0.925
4 Zr 0.500 0.500 0.709

Properties
* M_tot: 0.00 μB/cell
* E above lowest polymorph: 0.146 eV per atom
* energy: -5.886 eV per atom

---

17.
VASP calculation (PBE-GGA) on an optimized crystal structure of YTmTc.

a b c (Å): 3.460 3.460 6.612
angles (deg): 105.17 105.17 90.00
Atoms (fractional coordinates):
1 Y 0.034 0.034 0.069
2 Tc 0.669 0.669 0.339
3 Tm 0.296 0.296 0.593

Properties
* M_tot: 0.00 μB/cell
* E above lowest polymorph: 0.000 eV per atom
* energy: -7.158 eV per atom
* energy of formation from the pure elements: -5.52 kJ/mol of atoms

---

18.
VASP calculation (PBE-GGA) on an optimized crystal structure of Hf5Sn2Mo.

a b c (Å): 4.947 5.846 13.278
angles (deg): 90.00 90.00 115.03
Atoms (fractional coordinates):
1 Hf 0.383 0.767 0.053
2 Hf 0.617 0.233 0.553
3 Hf 0.459 0.919 0.750
4 Hf 0.079 0.159 0.099
5 Hf 0.617 0.233 0.947
6 Hf 0.541 0.081 0.250
7 Hf 0.383 0.767 0.447
8 Hf 0.921 0.841 0.599
9 Hf 0.079 0.159 0.401
10 Hf 0.921 0.841 0.901
11 Sn 0.785 0.569 0.369
12 Sn 0.785 0.569 0.131
13 Sn 0.215 0.431 0.869
14 Sn 0.215 0.431 0.631
15 Mo 0.740 0.481 0.750
16 Mo 0.260 0.519 0.250

Properties
* M_tot: 0.00 μB/cell
* energy: -8.628 eV per atom
* energy of formation from the pure elements: -5.11 kJ/mol of atoms

---

19.
VASP calculation (PBE-GGA) on an optimized crystal structure of Hf2ZrPdO.

a b c (Å): 4.373 4.373 4.453
angles (deg): 90.00 90.00 90.00
Atoms (fractional coordinates):
1 Zr 0.000 0.000 0.500
2 Hf 0.000 0.500 0.000
3 Hf 0.500 0.000 0.000
4 O 0.000 0.000 0.000
5 Pd 0.500 0.500 0.500

Properties
* M_tot: 0.00 μB/cell
* energy: -8.900 eV per atom

---

20.
VASP calculation (PBE-GGA) on an optimized crystal structure of Cs2CeTeS4.

a b c (Å): 7.264 7.264 7.264
angles (deg): 105.99 111.24 111.24
Each line ends with the local moment (μB).
Atoms (fractional coordinates):
1 Ce 0.500 0.250 0.750  0.27
2 Te 0.000 0.500 0.500  -0.03
3 S 0.429 0.857 0.714  -0.02
4 S 0.571 0.285 0.427  -0.02
5 S 0.857 0.573 0.143  -0.02
6 S 0.143 0.286 0.715  -0.02
7 Cs 0.500 0.750 0.250  0.00
8 Cs 0.000 0.000 0.000  0.00

Properties
* M_tot: 0.11 μB/cell
* energy: -4.410 eV per atom

---

21.
VASP calculation (PBE-GGA) on an optimized crystal structure of In2RuW.

a b c (Å): 5.090 5.090 2.994
angles (deg): 90.00 90.00 112.51
Atoms (fractional coordinates):
1 W 0.000 0.500 0.500
2 Ru 0.500 0.000 0.500
3 In 0.500 0.500 0.000
4 In 0.000 0.000 0.000

Properties
* M_tot: 0.00 μB/cell
* E above lowest polymorph: 0.382 eV per atom
* energy: -6.352 eV per atom
* energy of formation from the pure elements: 55.43 kJ/mol of atoms

---

22.
VASP calculation (PBE-GGA) on an optimized crystal structure of YTc2HgRh.

a b c (Å): 4.764 5.387 4.764
angles (deg): 90.00 90.00 90.00
Each line ends with the local moment (μB).
Atoms (fractional coordinates):
1 Y 0.000 0.000 0.000  -0.06
2 Hg 0.000 0.500 0.000  0.01
3 Tc 0.000 0.000 0.500  1.18
4 Tc 0.500 0.000 0.000  1.60
5 Rh 0.500 0.500 0.500  0.68

Properties
* M_tot: 3.66 μB/cell
* energy: -4.770 eV per atom
* energy of formation from the pure elements: 212.28 kJ/mol of atoms

---

23.
VASP calculation (PBE-GGA) on an optimized crystal structure of PuSn2Au.

a b c (Å): 3.399 3.399 10.813
angles (deg): 80.96 80.96 60.00
Each line ends with the local moment (μB).
Atoms (fractional coordinates):
1 Sn 0.100 0.100 0.700  0.00
2 Sn 0.900 0.900 0.300  0.00
3 Pu 0.000 0.000 0.000  5.89
4 Au 0.500 0.500 0.500  0.01

Properties
* M_tot: 6.56 μB/cell
* energy: -6.298 eV per atom
* energy of formation from the pure elements: 10.17 kJ/mol of atoms

---

24.
VASP calculation (PBE-GGA) on an optimized crystal structure of Ho3Al2Zn3.

a b c (Å): 4.380 5.768 14.477
angles (deg): 90.00 90.00 112.31
Atoms (fractional coordinates):
1 Zn 0.659 0.318 0.750
2 Zn 0.610 0.221 0.037
3 Zn 0.390 0.779 0.537
4 Zn 0.341 0.682 0.250
5 Zn 0.390 0.779 0.963
6 Zn 0.610 0.221 0.463
7 Al 0.208 0.416 0.096
8 Al 0.792 0.584 0.904
9 Al 0.792 0.584 0.596
10 Al 0.208 0.416 0.404
11 Ho 0.915 0.831 0.389
12 Ho 0.915 0.831 0.111
13 Ho 0.085 0.169 0.611
14 Ho 0.085 0.169 0.889
15 Ho 0.368 0.737 0.750
16 Ho 0.632 0.263 0.250

Properties
* M_tot: 0.00 μB/cell
* energy: -3.535 eV per atom
* energy of formation from the pure elements: -39.10 kJ/mol of atoms

---

25.
VASP calculation (PBE-GGA) on an optimized crystal structure of BaAsHRu.

a b c (Å): 4.220 4.220 9.300
angles (deg): 90.00 90.00 90.00
Atoms (fractional coordinates):
1 H 0.500 0.500 0.500
2 H 0.000 0.000 0.500
3 As 0.500 0.000 0.135
4 As 0.000 0.500 0.865
5 Ru 0.000 0.000 0.000
6 Ru 0.500 0.500 0.000
7 Ba 0.000 0.500 0.332
8 Ba 0.500 0.000 0.668

Properties
* M_tot: 0.00 μB/cell
* energy: -5.446 eV per atom

---

26.
VASP calculation (PBE-GGA) on an optimized crystal structure of Ac2TbCo.

a b c (Å): 4.226 5.431 6.903
angles (deg): 113.15 107.80 90.00
Atoms (fractional coordinates):
1 Ac 0.840 0.849 0.680
2 Ac 0.160 0.169 0.320
3 Tb 0.500 0.509 0.000
4 Co 0.500 0.009 0.000

Properties
* M_tot: 0.00 μB/cell
* E above lowest polymorph: 0.000 eV per atom
* energy: -5.029 eV per atom
* energy of formation from the pure elements: -3.94 kJ/mol of atoms